[1]
Compound: MgCu2Se2
Source: Alexandria
Functional: SCAN
Structure: PBEsol geometry

Properties
- Formation energy without anion corrections: -0.5331 eV/atom
- Calculated total energy: -15.639 eV/atom
- Energy above the most stable polymorph in this dataset: 0.0388 eV per atom
- Total magnetization: 0.00 μB/f.u.

Cell: 3.9871 6.3173 8.1511 Å, 90.00 104.16 90.00°
Atoms (fractional coordinates):
Se: 0.6897 0.9803 0.3795
Se: 0.9326 0.9733 0.8652
Cu: 0.1973 0.2221 0.3947
Cu: 0.8027 0.7221 0.6053
Mg: 0.9104 0.3734 0.8207
Se: 0.3103 0.4803 0.6205
Se: 0.0674 0.4733 0.1348
Cu: 0.6121 0.3168 0.2242
Cu: 0.3879 0.8168 0.7758
Mg: 0.0896 0.8734 0.1793


[2]
Compound: CoRu2W
Source: Alexandria
Functional: SCAN
Structure: PBEsol geometry

Properties
- Calculated total energy: -39.121 eV/atom
- Energy above the most stable polymorph in this dataset: 0.0000 eV per atom
- Formation energy: 41 meV/atom
- Total magnetization: 0.38 μB/f.u.

Cell: 3.7200 3.7408 3.7408 Å, 90.00 90.00 90.00°
Each line ends with the local moment (μB).
Atoms (fractional coordinates):
Ru: 0.0000 0.0000 0.5000  -0.04
Co: 0.5000 0.0000 0.0000  0.53
Ru: 0.0000 0.5000 0.0000  -0.04
W: 0.5000 0.5000 0.5000  -0.05


[3]
Compound: Rb2AgH2
Source: Alexandria
Functional: SCAN
Structure: PBEsol geometry

Properties
- Calculated total energy: -15.790 eV/atom
- Total magnetization: 0.00 μB/f.u.

Cell: 3.5806 7.8101 7.8101 Å, 90.00 90.00 90.00°
Atoms (fractional coordinates):
Rb: 0.5000 0.3511 0.1489
Rb: 0.5000 0.1489 0.6489
H: 0.0000 0.8417 0.6583
Ag: 0.0000 0.5000 0.5000
Rb: 0.5000 0.6489 0.8511
Rb: 0.5000 0.8511 0.3511
H: 0.0000 0.6583 0.1583
H: 0.0000 0.3417 0.8417
Ag: 0.0000 0.0000 0.0000
H: 0.0000 0.1583 0.3417


[4]
Compound: ScNbGe2H
Source: Alexandria
Functional: SCAN
Structure: PBEsol geometry

Properties
- Calculated total energy: -16.913 eV/atom
- Total magnetization: 0.00 μB/f.u.

Cell: 4.9080 4.9080 5.0327 Å, 90.00 90.00 90.00°
Atoms (fractional coordinates):
Ge: 0.5000 0.0000 0.0000
Nb: 0.0000 0.0000 0.0000
Sc: 0.0000 0.0000 0.5000
H: 0.5000 0.5000 0.5000
Ge: 0.0000 0.5000 0.0000


[5]
Compound: RbAl2Te2
Source: Alexandria
Functional: SCAN
Structure: PBEsol geometry

Properties
- Formation energy without anion corrections: -0.2388 eV/atom
- Calculated total energy: -22.388 eV/atom
- Total magnetization: 0.00 μB/f.u.

Cell: 5.2922 5.2922 7.1928 Å, 111.59 111.59 90.00°
Atoms (fractional coordinates):
Rb: 0.0000 0.0000 0.0000
Te: 0.3343 0.3343 0.6686
Al: 0.7500 0.2500 0.5000
Al: 0.2500 0.7500 0.5000
Te: 0.6657 0.6657 0.3314


[6]
Compound: YZnGe
Source: Alexandria
Functional: SCAN
Structure: PBEsol geometry

Properties
- Calculated total energy: -20.925 eV/atom
- Formation energy: -777 meV/atom
- Total magnetization: 0.00 μB/f.u.

Cell: 4.1228 4.1228 7.9641 Å, 90.00 90.00 120.00°
Atoms (fractional coordinates):
Ge: 0.6667 0.3333 0.2500
Ge: 0.3333 0.6667 0.7500
Y: 0.0000 0.0000 0.5000
Zn: 0.6667 0.3333 0.7500
Y: 0.0000 0.0000 0.0000
Zn: 0.3333 0.6667 0.2500


[7]
Compound: NbGaOF2
Source: Alexandria
Functional: SCAN
Structure: PBEsol geometry

Properties
- Formation energy without anion corrections: -1.9629 eV/atom
- Calculated total energy: -14.520 eV/atom
- Total magnetization: 1.88 μB/f.u.

Cell: 3.9614 4.3057 4.3057 Å, 90.00 90.00 90.00°
Each line ends with the local moment (μB).
Atoms (fractional coordinates):
Nb: 0.0000 0.0000 0.0000  1.48
Ga: 0.5000 0.5000 0.5000  0.04
F: 0.0000 0.0000 0.5000  0.05
F: 0.0000 0.5000 0.0000  0.05
O: 0.5000 0.0000 0.0000  -0.08


[8]
Compound: BaGe2W
Source: Alexandria
Functional: SCAN
Structure: PBEsol geometry

Properties
- Calculated total energy: -36.129 eV/atom
- Formation energy: 724 meV/atom
- Total magnetization: 1.86 μB/f.u.

Cell: 4.9244 4.9244 4.9244 Å, 60.00 60.00 60.00°
Each line ends with the local moment (μB).
Atoms (fractional coordinates):
W: 0.5000 0.5000 0.5000  1.51
Ba: 0.0000 0.0000 0.0000  0.06
Ge: 0.7500 0.7500 0.7500  -0.07
Ge: 0.2500 0.2500 0.2500  -0.07


[9]
Compound: Ba3CaLa2Cu6O14
Source: Alexandria
Functional: SCAN
Structure: PBEsol geometry

Properties
- Formation energy without anion corrections: -2.0496 eV/atom
- Calculated total energy: -17.163 eV/atom
- Total magnetization: 0.00 μB/f.u.

Cell: 5.4227 5.4227 11.5140 Å, 90.00 90.00 90.83°
Atoms (fractional coordinates):
O: 0.0000 0.5000 0.8436
Ba: 0.5000 0.5000 0.8170
Cu: 0.5000 0.0000 0.0033
O: 0.7507 0.7507 0.6299
O: 0.5000 0.0000 0.8436
O: 0.7419 0.2581 0.3558
Cu: 0.5000 0.0000 0.3479
O: 0.7424 0.7424 0.3598
O: 0.5000 0.0000 0.1641
O: 0.2493 0.2493 0.6299
Cu: 0.5000 0.0000 0.6497
O: 0.2496 0.7504 0.6276
O: 0.7504 0.2496 0.6276
O: 0.2576 0.2576 0.3598
Cu: 0.0000 0.5000 0.6497
La: 0.5000 0.5000 0.1924
O: 0.2581 0.7419 0.3558
Ba: 0.0000 0.0000 0.1791
O: 0.0000 0.5000 0.1641
Cu: 0.0000 0.5000 0.0033
La: 0.0000 0.0000 0.4955
Ba: 0.0000 0.0000 0.8152
Ca: 0.5000 0.5000 0.5011
Cu: 0.0000 0.5000 0.3479
O: 0.7159 0.7159 0.0181
O: 0.2841 0.2841 0.0181


[10]
Compound: Tl2HgCl
Source: Alexandria
Functional: SCAN
Structure: PBEsol geometry

Properties
- Formation energy without anion corrections: -0.2924 eV/atom
- Calculated total energy: -55.507 eV/atom
- Energy above the most stable polymorph in this dataset: 0.1896 eV per atom
- Total magnetization: 0.00 μB/f.u.

Cell: 5.3167 5.3167 5.3167 Å, 60.00 60.00 60.00°
Atoms (fractional coordinates):
Cl: 0.5000 0.5000 0.5000
Tl: 0.0000 0.0000 0.0000
Hg: 0.2500 0.2500 0.2500
Tl: 0.7500 0.7500 0.7500


[11]
Compound: K2TbO3
Source: Alexandria
Functional: SCAN
Structure: PBEsol geometry

Properties
- Formation energy without anion corrections: -2.2727 eV/atom
- Calculated total energy: -15.958 eV/atom
- Total magnetization: 1.00 μB/f.u.

Cell: 6.1998 6.2109 12.5015 Å, 85.08 80.11 60.06°
Each line ends with the local moment (μB).
Atoms (fractional coordinates):
O: 0.4909 0.1725 0.3495  0.31
K: 0.1559 0.1562 0.5002  0.00
O: 0.6634 0.8275 0.8495  0.31
O: 0.2656 0.7860 0.3492  0.28
K: 0.0867 0.8265 0.7500  0.00
Tb: 0.4196 0.1608 0.7500  -0.04
O: 0.4395 0.4394 0.8496  0.30
K: 0.9133 0.1735 0.2500  0.00
Tb: 0.7530 0.4941 0.7500  -0.04
O: 0.5091 0.8275 0.6505  0.31
K: 0.5000 0.5000 0.5000  0.00
K: 0.0000 0.5000 0.0000  0.00
O: 0.3366 0.1725 0.1505  0.31
O: 0.7344 0.2140 0.6508  0.28
O: 0.1211 0.4394 0.6504  0.30
K: 0.3120 0.8438 0.0002  0.00
O: 0.0515 0.2140 0.8492  0.28
Tb: 0.2470 0.5059 0.2500  -0.04
K: 0.6880 0.1562 0.9998  0.00
O: 0.9485 0.7860 0.1508  0.28
K: 0.8441 0.8438 0.4998  0.00
O: 0.8789 0.5606 0.3496  0.30
Tb: 0.5804 0.8392 0.2500  -0.04
O: 0.5605 0.5606 0.1504  0.30


[12]
Compound: AgSnTe2I
Source: Alexandria
Functional: SCAN
Structure: PBEsol geometry

Properties
- Formation energy without anion corrections: 0.5104 eV/atom
- Calculated total energy: -35.196 eV/atom
- Total magnetization: 0.00 μB/f.u.

Cell: 5.6136 5.6136 5.8476 Å, 90.00 90.00 90.00°
Atoms (fractional coordinates):
Te: 0.5000 0.0000 0.0000
Te: 0.0000 0.5000 0.0000
I: 0.0000 0.0000 0.5000
Ag: 0.5000 0.5000 0.5000
Sn: 0.0000 0.0000 0.0000